1.
Compound: CdTcO2F
Source: Alexandria
Functional: PBE
Structure: relaxed

## Properties
The value obtained for the calculated total energy is -28.4 eV per formula unit. The calculated volume is 13.58 Å³ per atom. Its density of states at the Fermi level is 0.4801 states/eV per atom. For the uncorrected formation energy, the calculation gives -1.066 eV per atom. Its total magnetic moment is 0.0 μB/f.u.

Unit cell a=3.837 b=3.837 c=4.612 alpha=90.00 beta=90.00 gamma=90.00
Fractional positions:
Cd 0.000 0.000 0.000
Tc 0.500 0.500 0.500
O 0.000 0.500 0.500
O 0.500 0.000 0.500
F 0.500 0.500 0.000

***

2.
Compound: La4Tb7Nd
Source: Alexandria
Functional: PBE
Structure: relaxed

## Properties
The value obtained for the calculated total energy is -54.0 eV per formula unit. The calculated volume is 35.28 Å³ per atom. Its density of states at the Fermi level is 1.6844 states/eV per atom. The value obtained for the relative energy among the computed polymorphs is 222 meV/atom. Its total magnetic moment is 0.0 μB/f.u. For the formation energy, the calculation gives 0.237 eV/atom.

Unit cell a=6.805 b=6.805 c=13.043 alpha=114.78 beta=114.78 gamma=52.45
Fractional positions:
La 0.056 0.056 0.334
La 0.358 0.358 0.223
La 0.642 0.642 0.777
La 0.944 0.944 0.666
Tb 0.000 0.000 0.000
Tb 0.213 0.213 0.924
Tb 0.257 0.257 0.687
Tb 0.362 0.362 0.495
Tb 0.638 0.638 0.505
Tb 0.743 0.743 0.313
Tb 0.787 0.787 0.076
Nd 0.500 0.500 0.000

***

3.
Compound: Ti5MoN6
Source: Alexandria
Functional: PBE
Structure: relaxed

## Properties
The value obtained for the calculated total energy is -117.9 eV per formula unit. The calculated volume is 9.71 Å³ per atom. Its density of states at the Fermi level is 0.4902 states/eV per atom. For the uncorrected formation energy, the calculation gives -1.469 eV per atom. Its total magnetic moment is 0.0 μB/f.u.

Unit cell a=5.228 b=5.228 c=5.215 alpha=99.56 beta=99.56 gamma=119.95
Fractional positions:
Ti 0.000 0.000 0.000
Ti 0.167 0.833 0.500
Ti 0.338 0.662 0.000
Ti 0.662 0.338 0.000
Ti 0.833 0.167 0.500
Mo 0.500 0.500 0.500
N 0.072 0.415 0.245
N 0.243 0.243 0.754
N 0.415 0.072 0.245
N 0.585 0.928 0.755
N 0.757 0.757 0.246
N 0.928 0.585 0.755

***

4.
Compound: ReB
Source: Alexandria
Functional: PBE
Structure: relaxed

## Properties
The value obtained for the calculated total energy is -17.4 eV per formula unit. The calculated volume is 13.49 Å³ per atom. Its density of states at the Fermi level is 0.5909 states/eV per atom. Its total magnetic moment is 0.0 μB/f.u. For the formation energy, the calculation gives 0.866 eV/atom.

Unit cell a=3.367 b=3.367 c=3.367 alpha=60.00 beta=60.00 gamma=60.00
Fractional positions:
Re 0.000 0.000 0.000
B 0.250 0.250 0.250

***

5.
Compound: Ti4Nb4Mo
Source: Alexandria
Functional: PBE
Structure: relaxed

## Properties
The value obtained for the calculated total energy is -82.8 eV per formula unit. The calculated volume is 17.39 Å³ per atom. Its density of states at the Fermi level is 1.5497 states/eV per atom. Its total magnetic moment is 0.0 μB/f.u. For the formation energy, the calculation gives -0.011 eV/atom.

Unit cell a=7.108 b=7.108 c=7.108 alpha=93.04 beta=93.04 gamma=153.39
Fractional positions:
Ti 0.156 0.156 0.313
Ti 0.156 0.844 0.000
Ti 0.844 0.156 0.000
Ti 0.844 0.844 0.687
Nb 0.165 0.500 0.665
Nb 0.500 0.165 0.665
Nb 0.500 0.835 0.335
Nb 0.835 0.500 0.335
Mo 0.500 0.500 0.000

***

6.
Compound: Li2AcInAu2
Source: Alexandria
Functional: PBE
Structure: relaxed

## Properties
The value obtained for the calculated total energy is -20.8 eV per formula unit. The calculated volume is 22.14 Å³ per atom. Its density of states at the Fermi level is 0.7359 states/eV per atom. Its total magnetic moment is 0.0 μB/f.u. For the formation energy, the calculation gives -0.587 eV/atom.

Unit cell a=4.614 b=4.614 c=7.205 alpha=90.00 beta=90.00 gamma=120.00
Fractional positions:
Li 0.333 0.667 0.153
Li 0.667 0.333 0.847
Ac 0.000 0.000 0.500
In 0.000 0.000 0.000
Au 0.333 0.667 0.776
Au 0.667 0.333 0.224

***

Copy entry 3 word for word.
Compound: Ti5MoN6
Source: Alexandria
Functional: PBE
Structure: relaxed

## Properties
The value obtained for the calculated total energy is -117.9 eV per formula unit. The calculated volume is 9.71 Å³ per atom. Its density of states at the Fermi level is 0.4902 states/eV per atom. For the uncorrected formation energy, the calculation gives -1.469 eV per atom. Its total magnetic moment is 0.0 μB/f.u.

Unit cell a=5.228 b=5.228 c=5.215 alpha=99.56 beta=99.56 gamma=119.95
Fractional positions:
Ti 0.000 0.000 0.000
Ti 0.167 0.833 0.500
Ti 0.338 0.662 0.000
Ti 0.662 0.338 0.000
Ti 0.833 0.167 0.500
Mo 0.500 0.500 0.500
N 0.072 0.415 0.245
N 0.243 0.243 0.754
N 0.415 0.072 0.245
N 0.585 0.928 0.755
N 0.757 0.757 0.246
N 0.928 0.585 0.755